No. 1
Re2AgSe: relaxed, PBE-GGA.

The structure in POSCAR format:
```
Re2AgSe
1.0
-1.7042 3.3789 -4.1214
2.3519 -0.0317 -5.0768
-2.7463 -2.7129 4.0503
Se Re Ag
1 2 1
Direct
0.7500 0.2500 0.5000
0.9616 0.9616 0.0000
0.5384 0.5384 0.0000
0.2500 0.7500 0.5000
```

## Properties
E_tot in eV per atom: -7.0806
Mass density in Mg/m³: 14.2
ΔE_f (raw) in kcal/mol of atoms: 16.775
D(E_F) in states/eV per atom: 0.73
Volume in Å³ per atom: 16.317
Space-group type: Immm, No. 71

---

No. 2
BaYZn2: relaxed, PBE-GGA.

The structure in POSCAR format:
```
BaYZn2
1.0
8.5573 0.0067 0.0155
-3.4709 4.2012 0.0150
1.6156 1.3289 3.0902
Ba Zn Y
1 2 1
Direct
0.0000 0.5000 0.5000
0.5000 0.0000 0.5000
0.0000 0.0000 0.0000
0.5000 0.5000 0.0000
```

## Properties
E_tot in eV per atom: -2.8623
Mass density in Mg/m³: 5.4
Offset from the most stable computed form in meV/atom: 99.4
D(E_F) in states/eV per atom: 0.73
Volume in Å³ per atom: 27.705
Energy relative to the elements in meV per atom: -129
Space-group type: P4/mmm, No. 123

---

No. 3
Li2FeRh: relaxed, PBE-GGA.

The structure in POSCAR format:
```
Li2FeRh
1.0
4.6284 0.0176 0.3070
3.8000 2.6424 0.3070
1.1356 0.3584 4.4162
Fe Li Rh
1 2 1
Direct
0.2473 0.2473 0.3170
0.7522 0.7522 0.8088
0.9988 0.9988 0.9412
0.5018 0.5018 0.4330
```

## Properties
E_tot in eV per atom: -4.8673
Mass density in Mg/m³: 5.4
D(E_F) in states/eV per atom: 0.65
Volume in Å³ per atom: 13.177
Energy relative to the elements in meV per atom: 43
Space-group type: Cm, No. 8

---

No. 4
Al11InO17: relaxed, PBE-GGA.

The structure in POSCAR format:
```
Al11InO17
1.0
5.6533 0.0000 0.0000
-2.8266 4.8959 0.0000
0.0000 0.0000 23.0658
Al O In
22 34 2
Direct
0.3346 0.1673 0.1054
0.6654 0.8327 0.8946
0.8327 0.1673 0.1054
0.6667 0.3333 0.9754
0.8327 0.1673 0.3946
0.6667 0.3333 0.8247
0.3333 0.6667 0.1753
0.0000 0.0000 0.0000
0.8327 0.6654 0.1054
0.1673 0.8327 0.8946
0.3333 0.6667 0.4754
0.3346 0.1673 0.3946
0.1673 0.3346 0.6054
0.0000 0.0000 0.5000
0.3333 0.6667 0.0246
0.1673 0.8327 0.6054
0.6667 0.3333 0.6753
0.6667 0.3333 0.5246
0.8327 0.6654 0.3946
0.1673 0.3346 0.8946
0.3333 0.6667 0.3247
0.6654 0.8327 0.6054
0.3333 0.6667 0.2500
0.5016 0.0031 0.1439
0.0000 0.0000 0.6396
0.6857 0.8429 0.0491
0.4984 0.9969 0.6439
0.0000 0.0000 0.8604
0.8429 0.6857 0.5491
0.5016 0.4984 0.1439
0.6667 0.3333 0.4450
0.6667 0.3333 0.0550
0.8429 0.1571 0.9509
0.0031 0.5016 0.8561
0.1571 0.3143 0.0491
0.3333 0.6667 0.9450
0.3143 0.1571 0.5491
0.4984 0.9969 0.8561
0.0000 0.0000 0.3604
0.5016 0.0031 0.3561
0.6857 0.8429 0.4509
0.1571 0.8429 0.4509
0.4984 0.5016 0.6439
0.8429 0.1571 0.5491
0.4984 0.5016 0.8561
0.0031 0.5016 0.6439
0.6667 0.3333 0.7500
0.1571 0.8429 0.0491
0.3143 0.1571 0.9509
0.9969 0.4984 0.3561
0.9969 0.4984 0.1439
0.5016 0.4984 0.3561
0.1571 0.3143 0.4509
0.3333 0.6667 0.5550
0.0000 0.0000 0.1396
0.8429 0.6857 0.9509
0.3333 0.6667 0.7500
0.6667 0.3333 0.2500
```

## Properties
E_tot in eV per atom: -7.3062
Mass density in Mg/m³: 3.6
ΔE_f (raw) in kcal/mol of atoms: -66.544
D(E_F) in states/eV per atom: 0.00
Volume in Å³ per atom: 11.007
Space-group type: P6_3/mmc, No. 194

---

No. 5
MnFeMoN2: relaxed, PBE-GGA.

The structure in POSCAR format:
```
MnFeMoN2
1.0
-3.4189 -0.0787 -0.7361
1.0384 -0.7420 -4.7433
-0.0352 -3.4571 0.5331
N Mo Mn Fe
2 1 1 1
Direct
0.0000 0.0000 0.5000
0.5000 0.0000 0.0000
0.5000 0.5000 0.5000
0.0000 0.0000 0.0000
0.0000 0.5000 0.0000
```

## Properties
E_tot in eV per atom: -7.8491
Mass density in Mg/m³: 6.5
ΔE_f (raw) in kcal/mol of atoms: 27.066
D(E_F) in states/eV per atom: 1.01
Volume in Å³ per atom: 12.021
Space-group type: P4/mmm, No. 123

---

No. 6
LiSmMgPb: relaxed, PBE-GGA.

The structure in POSCAR format:
```
LiSmMgPb
1.0
-3.1618 3.8760 1.5784
-4.0850 -1.0526 3.1171
0.0548 1.5537 5.0095
Sm Pb Li Mg
1 1 1 1
Direct
0.5000 0.5000 0.5000
0.7500 0.7500 0.7500
0.0000 0.0000 0.0000
0.2500 0.2500 0.2500
```

## Properties
E_tot in eV per atom: -3.2491
Mass density in Mg/m³: 6.3
D(E_F) in states/eV per atom: 0.31
Volume in Å³ per atom: 25.510
Energy relative to the elements in meV per atom: -265
Space-group type: F-43m, No. 216